Entry 1:
A relaxed structure of LaNbV2Sn, computed with PBE.

Calculated values
Calculated volume (Å³/cell): 126.3
Symmetry: P4/mmm, No. 123
Energy of formation from the pure elements (eV per atom): 0.915

a b c (Å): 4.774 5.543 4.774
angles (deg): 90.00 90.00 90.00
Fractional positions:
Nb (0.000, 0.000, 0.000)
V (0.000, 0.000, 0.500)
V (0.500, 0.000, 0.000)
Sn (0.500, 0.500, 0.500)
La (0.000, 0.500, 0.000)

---

Entry 2:
A relaxed structure of Tm6GaIr2, computed with PBE.

Calculated values
Calculated volume (Å³/cell): 439.3
Symmetry: Immm, No. 71
Energy of formation from the pure elements (eV per atom): -0.660

a b c (Å): 8.314 8.314 8.314
angles (deg): 103.99 111.70 112.87
Fractional positions:
Tm (0.539, 0.717, 0.821)
Tm (0.461, 0.283, 0.179)
Tm (0.104, 0.283, 0.821)
Tm (0.896, 0.717, 0.179)
Tm (0.802, 0.759, 0.561)
Tm (0.198, 0.241, 0.439)
Tm (0.198, 0.759, 0.957)
Tm (0.802, 0.241, 0.043)
Tm (0.694, 0.360, 0.666)
Tm (0.306, 0.640, 0.334)
Tm (0.306, 0.973, 0.666)
Tm (0.694, 0.027, 0.334)
Ga (0.000, 0.500, 0.500)
Ga (0.000, 0.000, 0.000)
Ir (0.500, 0.366, 0.866)
Ir (0.500, 0.634, 0.134)
Ir (0.671, 0.000, 0.671)
Ir (0.329, 0.000, 0.329)

---

Entry 3:
A relaxed structure of LiLaTc, computed with PBE.

Calculated values
Calculated volume (Å³/cell): 58.5
Symmetry: P3m1, No. 156
Energy relative to the lowest polymorph listed for this composition (eV/atom): 0.228
Energy of formation from the pure elements (eV per atom): 0.378

a b c (Å): 4.648 4.648 3.129
angles (deg): 90.00 90.00 120.00
Fractional positions:
La (0.000, 0.000, 0.923)
Li (0.667, 0.333, 0.385)
Tc (0.333, 0.667, 0.691)

---

Entry 4:
A relaxed structure of Y2Ho2Pt15, computed with PBE.

Calculated values
Calculated volume (Å³/cell): 347.2
Symmetry: R-3m, No. 166
Energy of formation from the pure elements (eV per atom): -0.715

a b c (Å): 7.091 7.091 7.091
angles (deg): 82.08 82.08 82.08
Fractional positions:
Y (0.362, 0.362, 0.362)
Y (0.638, 0.638, 0.638)
Ho (0.107, 0.107, 0.107)
Ho (0.893, 0.893, 0.893)
Pt (0.500, 0.000, 0.000)
Pt (0.000, 0.000, 0.500)
Pt (0.000, 0.500, 0.000)
Pt (0.000, 0.686, 0.314)
Pt (0.686, 0.314, 0.000)
Pt (0.314, 0.000, 0.686)
Pt (0.314, 0.686, 0.000)
Pt (0.686, 0.000, 0.314)
Pt (0.000, 0.314, 0.686)
Pt (0.162, 0.653, 0.653)
Pt (0.653, 0.653, 0.162)
Pt (0.653, 0.162, 0.653)
Pt (0.838, 0.347, 0.347)
Pt (0.347, 0.347, 0.838)
Pt (0.347, 0.838, 0.347)

---

Entry 5:
A relaxed structure of InHPd3, computed with PBE.

Calculated values
Calculated volume (Å³/cell): 146.3
Symmetry: Cmcm, No. 63
Energy relative to the lowest polymorph listed for this composition (eV/atom): 0.275

a b c (Å): 5.360 5.360 5.719
angles (deg): 90.00 90.00 117.12
Fractional positions:
H (0.135, 0.865, 0.250)
H (0.865, 0.135, 0.750)
Pd (0.511, 0.995, 0.250)
Pd (0.005, 0.489, 0.250)
Pd (0.995, 0.511, 0.750)
Pd (0.489, 0.005, 0.750)
Pd (0.000, 0.000, 0.000)
Pd (0.000, 0.000, 0.500)
In (0.508, 0.492, 0.250)
In (0.492, 0.508, 0.750)

---

Entry 6:
A relaxed structure of GeIr3S5, computed with PBE.

Calculated values
Calculated volume (Å³/cell): 332.1
Symmetry: C2/m, No. 12
ΔE_f (raw) (eV per atom): -0.1564

a b c (Å): 6.644 6.644 8.674
angles (deg): 72.42 72.42 68.75
Fractional positions:
Ge (0.890, 0.890, 0.304)
Ge (0.110, 0.110, 0.696)
Ir (0.327, 0.327, 0.160)
Ir (0.334, 0.334, 0.662)
Ir (0.000, 0.000, 0.000)
Ir (0.000, 0.000, 0.500)
Ir (0.673, 0.673, 0.840)
Ir (0.666, 0.666, 0.338)
S (0.648, 0.032, 0.676)
S (0.309, 0.691, 0.000)
S (0.227, 0.227, 0.958)
S (0.572, 0.572, 0.630)
S (0.428, 0.428, 0.370)
S (0.773, 0.773, 0.042)
S (0.032, 0.648, 0.676)
S (0.691, 0.309, 0.000)
S (0.352, 0.968, 0.324)
S (0.968, 0.352, 0.324)

---

Entry 7:
A relaxed structure of La4AgAu, computed with PBE.

Calculated values
Calculated volume (Å³/cell): 182.4
Symmetry: F-43m, No. 216
Energy relative to the lowest polymorph listed for this composition (eV/atom): 0.630
Energy of formation from the pure elements (eV per atom): 0.299

a b c (Å): 6.366 6.366 6.366
angles (deg): 60.00 60.00 60.00
Fractional positions:
La (0.877, 0.374, 0.374)
La (0.374, 0.374, 0.877)
La (0.374, 0.877, 0.374)
La (0.374, 0.374, 0.374)
Ag (0.750, 0.750, 0.750)
Au (0.000, 0.000, 0.000)

---

Entry 8:
A relaxed structure of As2PtCl, computed with PBE.

Calculated values
Calculated volume (Å³/cell): 69.6
Symmetry: Fm-3m, No. 225
Energy relative to the lowest polymorph listed for this composition (eV/atom): 0.596
ΔE_f (raw) (eV per atom): 0.2422

a b c (Å): 4.617 4.617 4.617
angles (deg): 60.00 60.00 60.00
Fractional positions:
As (0.250, 0.250, 0.250)
As (0.750, 0.750, 0.750)
Pt (0.500, 0.500, 0.500)
Cl (0.000, 0.000, 0.000)

---

Q: Which formula does entry 5 have?
A: InHPd3